[1]
VASP calculation (PBE) on a geometry-optimized ErIn6Ni4 structure.

Unit cell a=6.687 b=6.687 c=6.747 alpha=119.70 beta=119.70 gamma=90.00
Positions (direct):
Er  0.500  0.500  0.000
In  0.035  0.391  0.425
In  0.000  0.500  0.000
In  0.500  0.000  0.000
In  0.965  0.965  0.575
In  0.609  0.609  0.575
In  0.391  0.035  0.425
Ni  0.234  0.234  0.134
Ni  0.766  0.099  0.866
Ni  0.901  0.901  0.134
Ni  0.099  0.766  0.866

## Properties
Calculated volume ... 19.57 Å³/atom
Uncorrected energy ... -4.277 eV/atom

[2]
VASP calculation (PBE) on a geometry-optimized ErInNiPd structure.

Unit cell a=4.692 b=4.692 c=4.692 alpha=60.00 beta=60.00 gamma=60.00
Positions (direct):
Er  0.000  0.000  0.000
Ni  0.250  0.250  0.250
Pd  0.750  0.750  0.750
In  0.500  0.500  0.500

## Properties
Calculated volume ... 18.26 Å³/atom
Uncorrected energy ... -5.160 eV/atom

[3]
VASP calculation (PBE) on a geometry-optimized ErInNiRh structure.

Unit cell a=4.646 b=4.646 c=4.646 alpha=60.00 beta=60.00 gamma=60.00
Positions (direct):
In  0.500  0.500  0.500
Rh  0.750  0.750  0.750
Ni  0.250  0.250  0.250
Er  0.000  0.000  0.000

## Properties
Calculated volume ... 17.72 Å³/atom
Uncorrected energy ... -5.664 eV/atom

Q: Which DFT formation energy values were calculated for the entries above? A: -2.926, -2.365, -2.220, in eV/f.u..